First-principles (PBE-GGA) data for a relaxed structure of Li2SmGa, as listed in Alexandria via LeMat-Bulk.

Space group = Fm-3m (225)
VASP energy = -3.16 eV per atom
ΔE_f = -26 kJ/mol of atoms
Crystal system = cubic

```
4
Lattice="-4.585 -0.653 1.017 -1.297 -1.301 4.371 -2.265 3.071 2.813" Properties=species:S:1:pos:R:3 pbc="T T T"
Ga -4.074 0.559 4.100
Sm 0.000 0.000 0.000
Li -2.037 0.279 2.050
Li -6.110 0.838 6.151
```

First-principles (PBE-GGA) data for a relaxed structure of Li2Sm3Ga3, as listed in Alexandria via LeMat-Bulk.

Space group = Cmcm (63)
VASP energy = -3.81 eV per atom
ΔE_f = -41 kJ/mol of atoms
Crystal system = orthorhombic

```
16
Lattice="4.671 0.000 0.000 -2.336 5.035 0.000 0.000 0.000 15.325" Properties=species:S:1:pos:R:3 pbc="T T T"
Li 2.336 2.947 13.988
Li 0.000 2.087 6.326
Li 2.336 2.947 8.999
Li 0.000 2.087 1.337
Sm 2.336 3.987 5.959
Sm 0.000 1.047 13.621
Sm 2.336 3.987 1.704
Sm 0.000 1.047 9.366
Sm 2.336 1.079 3.831
Sm 0.000 3.956 11.494
Ga 2.336 1.034 6.964
Ga 0.000 4.001 14.626
Ga 2.336 1.034 0.699
Ga 0.000 4.001 8.362
Ga 0.000 3.100 3.831
Ga 2.336 1.934 11.494
```

First-principles (PBE-GGA) data for a relaxed structure of Li4SmGa2, as listed in Alexandria via LeMat-Bulk.

Space group = Cmmm (65)
VASP energy = -2.89 eV per atom
ΔE_f = -25 kJ/mol of atoms
Crystal system = orthorhombic

```
7
Lattice="-2.103 3.289 -1.403 -3.295 -2.513 -0.953 -1.371 2.444 7.785" Properties=species:S:1:pos:R:3 pbc="T T T"
Li -4.622 1.145 3.479
Li -2.733 -0.830 2.151
Li -2.147 2.075 1.950
Li -1.933 0.760 4.681
Sm 0.000 0.000 0.000
Ga -3.170 0.574 -0.036
Ga -3.599 2.646 5.465
```

First-principles (PBE-GGA) data for a relaxed structure of LiSm8Ga2, as listed in Alexandria via LeMat-Bulk.

Space group = C2/m (12)
VASP energy = -4.32 eV per atom
ΔE_f = -16 kJ/mol of atoms
Crystal system = monoclinic

```
11
Lattice="-1.087 -3.540 -3.539 6.572 0.427 -2.445 1.407 -4.748 8.023" Properties=species:S:1:pos:R:3 pbc="T T T"
Li -0.543 -1.770 -1.770
Sm 4.223 -5.069 3.773
Sm 6.025 -3.492 -2.063
Sm 4.579 -5.441 0.330
Sm 1.895 -7.806 3.519
Sm 2.313 -2.420 1.710
Sm 0.867 -4.368 4.103
Sm 2.669 -2.792 -1.734
Sm 4.998 -0.055 -1.479
Ga 1.730 -5.605 1.368
Ga 5.162 -2.255 0.671
```

First-principles (PBE-GGA) data for a relaxed structure of Li2Sm3Ga9, as listed in Alexandria via LeMat-Bulk.

Space group = Immm (71)
VASP energy = -3.77 eV per atom
ΔE_f = -52 kJ/mol of atoms
Crystal system = orthorhombic

```
14
Lattice="4.146 0.000 1.114 1.551 7.832 2.499 -0.024 0.183 8.364" Properties=species:S:1:pos:R:3 pbc="T T T"
Li 2.509 2.417 7.208
Li 3.164 5.598 4.769
Sm 0.000 0.000 0.000
Sm 3.326 2.509 4.166
Sm 2.347 5.506 7.811
Ga 0.764 4.008 5.432
Ga 4.232 7.726 9.067
Ga 1.441 0.290 2.910
Ga 3.817 5.708 10.614
Ga 1.857 2.307 1.363
Ga 4.905 6.828 6.564
Ga 0.769 1.187 5.413
Ga 4.196 3.387 9.203
Ga 1.477 4.628 2.774
```

First-principles (PBE-GGA) data for a relaxed structure of LiSmGa, as listed in Alexandria via LeMat-Bulk.

Space group = Pmma (51)
VASP energy = -3.54 eV per atom
ΔE_f = -31 kJ/mol of atoms
Crystal system = orthorhombic

```
6
Lattice="3.675 0.000 0.000 0.000 4.474 0.000 0.000 0.000 8.603" Properties=species:S:1:pos:R:3 pbc="T T T"
Li 2.983 0.967 2.642
Li 2.984 3.204 4.180
Sm 1.145 3.204 0.929
Sm 1.145 0.967 5.892
Ga 2.982 0.968 8.472
Ga 2.982 3.204 6.953
```

First-principles (PBE-GGA) data for a relaxed structure of LiSm12Ga6, as listed in Alexandria via LeMat-Bulk.

Space group = R-3 (148)
VASP energy = -4.19 eV per atom
ΔE_f = -15 kJ/mol of atoms
Crystal system = trigonal

```
19
Lattice="-2.483 2.272 8.225 7.826 -4.177 0.543 1.182 7.463 -4.679" Properties=species:S:1:pos:R:3 pbc="T T T"
Li 0.000 0.000 0.000
Sm 3.416 3.408 5.052
Sm 6.298 2.286 1.979
Sm 3.718 5.749 1.387
Sm 3.107 2.150 -0.963
Sm 0.226 3.272 2.109
Sm 2.806 -0.192 2.701
Sm 7.140 -1.203 -0.860
Sm 6.158 4.767 -3.150
Sm 6.133 -1.581 5.519
Sm -0.616 6.761 4.948
Sm 0.365 0.791 7.239
Sm 0.391 7.139 -1.431
Ga 5.028 0.887 4.312
Ga 1.175 1.573 4.500
Ga 4.885 0.192 0.458
Ga 1.496 4.671 -0.223
Ga 5.349 3.985 -0.412
Ga 1.639 5.366 3.631
```

First-principles (PBE-GGA) data for a relaxed structure of LiSmGa, as listed in Alexandria via LeMat-Bulk.

Space group = P-6m2 (187)
VASP energy = -3.57 eV per atom
ΔE_f = -34 kJ/mol of atoms
Crystal system = hexagonal

```
3
Lattice="3.370 0.000 0.000 0.000 4.762 0.000 0.000 -2.381 4.124" Properties=species:S:1:pos:R:3 pbc="T T T"
Ga 0.561 0.000 0.000
Sm 2.245 0.000 2.749
Li 0.563 2.381 1.375
```

First-principles (PBE-GGA) data for a relaxed structure of Li3Sm2Ga4, as listed in Alexandria via LeMat-Bulk.

Space group = Cmce (64)
VASP energy = -3.42 eV per atom
ΔE_f = -38 kJ/mol of atoms
Crystal system = orthorhombic

```
18
Lattice="-5.466 0.933 -1.664 1.573 -3.020 -6.861 0.646 -7.794 3.579" Properties=species:S:1:pos:R:3 pbc="T T T"
Li 0.000 0.000 0.000
Li -1.947 -1.043 -4.263
Li -1.297 -5.931 -4.100
Li -4.683 -3.484 -1.678
Li -1.950 -3.950 -0.846
Li 1.436 -6.397 -3.268
Sm 0.521 -3.303 -3.565
Sm -3.768 -6.578 -1.381
Sm -1.504 -6.144 1.497
Sm -1.743 -3.737 -6.443
Ga -1.980 -8.328 -3.201
Ga -4.000 -1.086 -2.577
Ga -1.267 -1.553 -1.745
Ga 0.753 -8.795 -2.370
Ga 0.888 -5.383 -5.935
Ga -4.135 -4.498 0.989
Ga -0.631 -6.444 -1.540
Ga -2.616 -3.437 -3.406
```

First-principles (PBE-GGA) data for a relaxed structure of Li3Sm2Ga2, as listed in Alexandria via LeMat-Bulk.

Space group = Cmmm (65)
VASP energy = -3.30 eV per atom
ΔE_f = -26 kJ/mol of atoms
Crystal system = orthorhombic

```
7
Lattice="-3.066 0.816 2.119 -2.245 -3.036 -2.080 4.097 -5.475 8.038" Properties=species:S:1:pos:R:3 pbc="T T T"
Li -2.239 -2.090 1.000
Li 1.025 -5.606 7.077
Li 0.000 0.000 0.000
Sm 0.863 -6.187 3.632
Sm 0.989 -2.324 2.326
Ga -1.394 -4.076 2.987
Ga 0.180 -3.620 5.090
```

First-principles (PBE-GGA) data for a relaxed structure of LiSm2Ga2, as listed in Alexandria via LeMat-Bulk.

Space group = C2/m (12)
VASP energy = -3.94 eV per atom
ΔE_f = -44 kJ/mol of atoms
Crystal system = monoclinic

```
10
Lattice="-1.753 -0.965 4.129 -2.755 -5.024 0.205 7.339 -4.891 4.521" Properties=species:S:1:pos:R:3 pbc="T T T"
Li 1.055 -2.967 4.852
Li 1.777 -7.913 4.002
Sm -0.536 -2.187 1.810
Sm 3.215 -5.246 5.237
Sm 3.367 -8.693 7.045
Sm -0.384 -5.635 3.618
Ga 4.397 -6.022 8.106
Ga 2.082 -3.723 2.563
Ga -1.565 -4.859 0.749
Ga 0.749 -7.158 6.292
```

First-principles (PBE-GGA) data for a relaxed structure of LiSm3Ga, as listed in Alexandria via LeMat-Bulk.

Space group = Cmcm (63)
VASP energy = -4.03 eV per atom
ΔE_f = -21 kJ/mol of atoms
Crystal system = orthorhombic

```
10
Lattice="0.128 3.067 4.128 2.527 -3.627 2.617 8.899 5.411 -1.091" Properties=species:S:1:pos:R:3 pbc="T T T"
Li 8.041 2.458 3.208
Li 3.468 1.314 0.994
Sm 1.929 2.144 3.631
Sm 8.443 5.003 1.304
Sm 5.170 3.567 2.473
Sm 3.066 -1.231 2.898
Sm 9.708 4.695 4.699
Sm 6.339 0.206 1.729
Ga 4.838 1.053 4.351
Ga 6.798 5.787 3.978
```

First-principles (PBE-GGA) data for a relaxed structure of Li2SmGa, as listed in Alexandria via LeMat-Bulk.

Space group = F-43m (216)
VASP energy = -3.17 eV per atom
ΔE_f = -26 kJ/mol of atoms
Crystal system = cubic

```
4
Lattice="0.714 0.601 4.804 1.853 -3.655 2.674 4.547 0.329 1.776" Properties=species:S:1:pos:R:3 pbc="T T T"
Li 2.142 -0.549 2.243
Li 2.928 -2.923 7.408
Sm 5.697 -1.912 6.870
Ga 3.919 -1.231 4.557
```

First-principles (PBE-GGA) data for a relaxed structure of LiSmGa, as listed in Alexandria via LeMat-Bulk.

Space group = P-62m (189)
VASP energy = -3.61 eV per atom
ΔE_f = -38 kJ/mol of atoms
Crystal system = hexagonal

```
9
Lattice="-3.287 0.155 3.048 2.616 -5.977 3.126 2.303 6.512 2.152" Properties=species:S:1:pos:R:3 pbc="T T T"
Li 3.771 0.410 4.046
Li 3.154 -4.457 3.628
Li 0.611 -1.395 0.730
Sm 0.433 0.304 3.752
Sm 2.303 -2.137 5.893
Sm -0.132 -3.376 3.330
Ga 2.407 2.349 2.476
Ga 2.512 -1.814 2.801
Ga 0.973 -5.899 4.650
```

First-principles (PBE-GGA) data for a relaxed structure of LiSm2Ga2, as listed in Alexandria via LeMat-Bulk.

Space group = Ibam (72)
VASP energy = -3.77 eV per atom
ΔE_f = -28 kJ/mol of atoms
Crystal system = orthorhombic

```
10
Lattice="6.115 0.000 0.000 0.000 6.433 0.000 -3.058 -3.217 6.218" Properties=species:S:1:pos:R:3 pbc="T T T"
Li 4.587 3.217 0.000
Li 1.529 3.217 0.000
Sm 3.058 1.947 4.400
Sm 0.000 1.270 1.818
Sm 3.058 5.164 1.818
Sm 0.000 -1.947 4.400
Ga 0.000 1.428 4.844
Ga 3.058 1.789 1.374
Ga 0.000 4.644 1.374
Ga 3.058 -1.428 4.844
```

First-principles (PBE-GGA) data for a relaxed structure of LiSmGa, as listed in Alexandria via LeMat-Bulk.

Space group = Cmcm (63)
VASP energy = -3.45 eV per atom
ΔE_f = -22 kJ/mol of atoms
Crystal system = orthorhombic

```
12
Lattice="3.399 0.000 0.000 0.000 4.792 0.000 0.000 0.000 17.695" Properties=species:S:1:pos:R:3 pbc="T T T"
Sm 2.549 1.197 14.997
Sm 0.850 1.199 6.149
Sm 0.850 3.595 2.698
Sm 2.549 3.593 11.545
Li 2.549 1.198 9.416
Li 0.850 1.199 0.568
Li 0.850 3.595 8.279
Li 2.549 3.594 17.126
Ga 2.549 3.595 5.331
Ga 0.850 3.593 14.178
Ga 0.850 1.197 12.364
Ga 2.549 1.199 3.517
```

First-principles (PBE-GGA) data for a relaxed structure of Li8SmGa4, as listed in Alexandria via LeMat-Bulk.

Space group = I4/mmm (139)
VASP energy = -2.73 eV per atom
ΔE_f = -25 kJ/mol of atoms
Crystal system = tetragonal

```
13
Lattice="-2.523 -4.828 -0.014 4.237 -5.282 -1.853 0.366 -3.283 6.195" Properties=species:S:1:pos:R:3 pbc="T T T"
Li 1.705 -3.975 3.412
Li 2.898 -4.591 0.930
Li 2.139 -7.273 2.836
Li -0.059 -6.120 1.492
Li 2.118 -7.254 -0.077
Li -0.038 -6.140 4.405
Li 0.317 -3.242 0.958
Li 1.763 -10.152 3.370
Sm 0.000 0.000 0.000
Ga 0.183 -1.642 3.097
Ga -1.079 -4.056 3.090
Ga 2.118 -2.641 -0.926
Ga 0.857 -5.055 -0.934
```

First-principles (PBE-GGA) data for a relaxed structure of Li3Sm4Ga4, as listed in Alexandria via LeMat-Bulk.

Space group = Immm (71)
VASP energy = -3.52 eV per atom
ΔE_f = -18 kJ/mol of atoms
Crystal system = orthorhombic

```
11
Lattice="3.600 0.000 0.000 0.000 9.591 0.000 -1.800 -4.795 7.772" Properties=species:S:1:pos:R:3 pbc="T T T"
Li 0.000 0.000 1.675
Li 1.800 4.795 6.097
Li 0.000 4.795 0.000
Sm 0.000 -1.743 5.326
Sm 1.800 3.053 2.447
Sm 1.800 6.538 2.447
Sm 0.000 1.743 5.326
Ga 0.000 4.795 4.174
Ga 1.800 0.000 3.598
Ga 1.800 8.268 0.000
Ga 1.800 1.323 0.000
```

First-principles (PBE-GGA) data for a relaxed structure of Li2Sm3Ga8, as listed in Alexandria via LeMat-Bulk.

Space group = P-1 (2)
VASP energy = -3.71 eV per atom
ΔE_f = -44 kJ/mol of atoms
Crystal system = triclinic

```
13
Lattice="-1.271 8.019 -1.447 -2.929 4.355 2.802 3.577 7.885 5.472" Properties=species:S:1:pos:R:3 pbc="T T T"
Li 1.613 10.446 5.736
Li -2.237 9.812 1.091
Sm 0.000 0.000 0.000
Sm 0.650 5.045 1.381
Sm -1.273 15.214 5.446
Ga 1.646 13.134 5.204
Ga -2.270 7.125 1.623
Ga -0.531 11.792 5.096
Ga 0.438 13.788 2.887
Ga 0.762 8.419 4.282
Ga -1.061 6.471 3.941
Ga -0.092 8.467 1.731
Ga -1.385 11.839 2.545
```

First-principles (PBE-GGA) data for a relaxed structure of Li2SmGa2Sn2, as listed in Alexandria via LeMat-Bulk.

Space group = R-3m (166)
VASP energy = -3.60 eV per atom
ΔE_f = -36 kJ/mol of atoms
Crystal system = trigonal

```
7
Lattice="-1.809 1.005 4.148 0.346 -3.045 3.479 6.605 2.719 4.812" Properties=species:S:1:pos:R:3 pbc="T T T"
Li 3.625 1.291 3.859
Li 1.517 -0.611 8.581
Sm 0.000 0.000 0.000
Ga 1.398 -0.222 5.845
Ga 3.744 0.902 6.595
Sn 4.037 0.596 9.388
Sn 1.105 0.084 3.052
```